Record 1
Density functional theory data (PBE) for a relaxed structure of CePmHf. Values from VASP.

```
&SYSTEM
  ibrav = 0, nat = 3, ntyp = 3
/
ATOMIC_SPECIES
Ce 140.12 Ce.upf
Hf 178.49 Hf.upf
Pm 145.00 Pm.upf
CELL_PARAMETERS angstrom
3.368 0.000 0.000
-1.684 2.916 0.000
0.000 0.000 8.348
ATOMIC_POSITIONS angstrom
Ce 1.684 0.972 2.904
Hf 0.000 1.944 5.507
Pm 0.000 0.000 8.284
```

Values from the calculation:
ΔE_f	0.51	eV per formula unit
crystal system	trigonal
VASP energy	-6.710	eV per atom
symmetry	P3m1, No. 156
relative energy among the computed polymorphs	4	meV per atom

Record 2
Density functional theory data (PBE) for a relaxed structure of GeHRh2. Values from VASP.

```
&SYSTEM
  ibrav = 0, nat = 8, ntyp = 3
/
ATOMIC_SPECIES
Ge 72.64 Ge.upf
H 1.01 H.upf
Rh 102.91 Rh.upf
CELL_PARAMETERS angstrom
-3.240 -4.425 2.085
0.036 -2.523 -5.297
0.669 -4.826 -0.947
ATOMIC_POSITIONS angstrom
Ge 0.000 0.000 0.000
H -1.602 -3.474 -1.606
Rh -2.305 -9.488 -3.079
H -0.449 -5.411 -3.925
Ge -2.087 -6.362 -0.234
Rh -0.697 -6.435 -2.356
Rh -1.583 -3.918 0.231
Rh -0.485 -3.705 -3.113
```

Values from the calculation:
crystal system	tetragonal
VASP energy	-5.880	eV per atom
symmetry	I-42d, No. 122
relative energy among the computed polymorphs	0	meV per atom

Record 3
Density functional theory data (PBE) for a relaxed structure of MnHg2P. Values from VASP.

```
&SYSTEM
  ibrav = 0, nat = 4, ntyp = 3
/
ATOMIC_SPECIES
Hg 200.59 Hg.upf
P 30.97 P.upf
Mn 54.94 Mn.upf
CELL_PARAMETERS angstrom
3.028 0.038 0.000
-0.047 3.028 0.000
0.000 0.000 8.401
ATOMIC_POSITIONS angstrom
Hg 0.000 0.000 0.125
Hg 0.000 0.000 4.076
P 1.491 1.533 6.301
Mn 1.491 1.533 2.100
```

Values from the calculation:
ΔE_f	2.07	eV per formula unit
crystal system	orthorhombic
VASP energy	-3.279	eV per atom
symmetry	Cmmm, No. 65

Record 4
Density functional theory data (PBE) for a relaxed structure of Tm2AsP. Values from VASP.

```
&SYSTEM
  ibrav = 0, nat = 4, ntyp = 3
/
ATOMIC_SPECIES
P 30.97 P.upf
Tm 168.93 Tm.upf
As 74.92 As.upf
CELL_PARAMETERS angstrom
4.005 -0.002 -0.003
-2.003 3.468 0.003
-1.997 -1.158 6.545
ATOMIC_POSITIONS angstrom
P 4.005 -0.002 -0.003
Tm 0.004 -0.003 4.955
As -2.000 1.155 3.274
Tm 0.001 2.311 1.590
```

Values from the calculation:
ΔE_f	-6.21	eV per formula unit
crystal system	trigonal
VASP energy	-6.303	eV per atom
symmetry	R-3m, No. 166

Record 5
Density functional theory data (PBE) for a relaxed structure of La2CuGe. Values from VASP.

```
&SYSTEM
  ibrav = 0, nat = 4, ntyp = 3
/
ATOMIC_SPECIES
Cu 63.55 Cu.upf
Ge 72.64 Ge.upf
La 138.91 La.upf
CELL_PARAMETERS angstrom
-1.348 3.312 -1.238
-4.585 -2.244 -1.013
-1.621 1.139 4.813
ATOMIC_POSITIONS angstrom
Cu -3.777 1.103 1.281
Ge -0.674 1.656 -0.619
La -2.293 -1.122 -0.507
La -0.810 0.569 2.406
```

Values from the calculation:
ΔE_f	-1.79	eV per formula unit
crystal system	tetragonal
VASP energy	-5.089	eV per atom
symmetry	P4/mmm, No. 123

Record 6
Density functional theory data (PBE) for a relaxed structure of Sm2ZnAs. Values from VASP.

```
&SYSTEM
  ibrav = 0, nat = 4, ntyp = 3
/
ATOMIC_SPECIES
As 74.92 As.upf
Zn 65.41 Zn.upf
Sm 150.36 Sm.upf
CELL_PARAMETERS angstrom
-2.361 3.194 -1.113
-3.626 0.633 1.863
1.370 5.543 5.351
ATOMIC_POSITIONS angstrom
As -2.624 8.091 5.847
Zn -2.300 4.696 3.064
Sm 0.619 4.590 4.212
Sm -1.251 2.220 1.379
```

Values from the calculation:
ΔE_f	-2.96	eV per formula unit
crystal system	trigonal
VASP energy	-4.581	eV per atom
symmetry	R3m, No. 160
relative energy among the computed polymorphs	5	meV per atom

Record 7
Density functional theory data (PBE) for a relaxed structure of AcIn3. Values from VASP.

```
&SYSTEM
  ibrav = 0, nat = 8, ntyp = 2
/
ATOMIC_SPECIES
In 114.82 In.upf
Ac 227.00 Ac.upf
CELL_PARAMETERS angstrom
5.089 0.000 0.000
0.000 6.697 0.000
0.000 0.000 6.955
ATOMIC_POSITIONS angstrom
In 0.000 4.964 3.477
In 0.000 0.951 1.724
Ac 2.545 2.553 3.477
In 2.545 5.746 1.754
In 2.545 1.733 0.000
In 2.545 5.746 5.201
Ac 0.000 4.144 0.000
In 0.000 0.951 5.231
```

Values from the calculation:
ΔE_f	-1.52	eV per formula unit
crystal system	orthorhombic
VASP energy	-3.460	eV per atom
symmetry	Pmmn, No. 59

Record 8
Density functional theory data (PBE) for a relaxed structure of Mg2Cd3Hg8. Values from VASP.

```
&SYSTEM
  ibrav = 0, nat = 13, ntyp = 3
/
ATOMIC_SPECIES
Hg 200.59 Hg.upf
Mg 24.30 Mg.upf
Cd 112.41 Cd.upf
CELL_PARAMETERS angstrom
3.532 0.000 0.000
0.000 12.779 -3.868
0.000 -0.354 7.063
ATOMIC_POSITIONS angstrom
Hg 0.000 11.423 0.906
Hg 1.766 1.575 4.758
Mg 1.766 8.842 0.757
Cd 1.766 0.000 0.000
Hg 1.766 6.825 2.990
Hg 0.000 7.862 -1.358
Hg 3.532 1.003 2.290
Hg 1.766 5.600 0.205
Cd 0.000 9.427 3.235
Hg 1.766 10.850 -1.562
Mg 1.766 3.583 2.438
Cd 0.000 2.998 -0.040
Hg 3.532 4.563 4.553
```

Values from the calculation:
ΔE_f	-0.44	eV per formula unit
crystal system	monoclinic
VASP energy	-0.676	eV per atom
symmetry	P2/m, No. 10
relative energy among the computed polymorphs	0	meV per atom

Record 9
Density functional theory data (PBE) for a relaxed structure of ScNb2CdIn. Values from VASP.

```
&SYSTEM
  ibrav = 0, nat = 5, ntyp = 4
/
ATOMIC_SPECIES
Cd 112.41 Cd.upf
Sc 44.96 Sc.upf
Nb 92.91 Nb.upf
In 114.82 In.upf
CELL_PARAMETERS angstrom
5.081 0.000 0.000
0.000 5.069 0.000
0.000 0.000 5.081
ATOMIC_POSITIONS angstrom
Cd 0.000 0.000 0.000
Sc 0.000 2.535 0.000
Nb 0.000 0.000 2.540
In 2.540 2.535 2.540
Nb 2.540 0.000 0.000
```

Values from the calculation:
ΔE_f	6.23	eV per formula unit
crystal system	tetragonal
VASP energy	-4.780	eV per atom
symmetry	P4/mmm, No. 123

Record 10
Density functional theory data (PBE) for a relaxed structure of K2Ag3S4. Values from VASP.

```
&SYSTEM
  ibrav = 0, nat = 9, ntyp = 3
/
ATOMIC_SPECIES
Ag 107.87 Ag.upf
S 32.06 S.upf
K 39.10 K.upf
CELL_PARAMETERS angstrom
6.117 0.545 0.000
-2.361 5.669 0.000
-1.878 -3.107 6.895
ATOMIC_POSITIONS angstrom
Ag 0.000 0.000 0.000
S -0.634 4.625 1.649
K 1.878 3.107 2.688
K 0.000 0.000 4.207
S -2.512 1.519 5.246
S 4.390 1.588 1.649
Ag 3.058 0.272 0.000
Ag -1.180 2.835 0.000
S 2.512 -1.519 5.246
```

Values from the calculation:
crystal system	orthorhombic
VASP energy	-3.366	eV per atom
symmetry	Fmmm, No. 69
formation energy from raw total energies	-0.337	eV/atom

Record 11
Density functional theory data (PBE) for a relaxed structure of SnCIO2. Values from VASP.

```
&SYSTEM
  ibrav = 0, nat = 5, ntyp = 4
/
ATOMIC_SPECIES
Sn 118.71 Sn.upf
I 126.90 I.upf
C 12.01 C.upf
O 16.00 O.upf
CELL_PARAMETERS angstrom
-3.436 0.292 -2.341
0.710 -3.816 -1.518
-2.324 -1.705 3.199
ATOMIC_POSITIONS angstrom
Sn -2.525 -2.614 -0.330
I -1.162 -0.852 1.599
C 0.000 0.000 0.000
O -1.718 0.146 -1.170
O 0.355 -1.908 -0.759
```

Values from the calculation:
crystal system	tetragonal
VASP energy	-3.848	eV per atom
symmetry	P4/mmm, No. 123
formation energy from raw total energies	1.091	eV/atom
relative energy among the computed polymorphs	448	meV per atom

Record 12
Density functional theory data (PBE) for a relaxed structure of SrSmNi10. Values from VASP.

```
&SYSTEM
  ibrav = 0, nat = 12, ntyp = 3
/
ATOMIC_SPECIES
Ni 58.69 Ni.upf
Sm 150.36 Sm.upf
Sr 87.62 Sr.upf
CELL_PARAMETERS angstrom
-3.091 -1.550 1.908
2.446 -4.338 0.438
3.328 2.636 7.536
ATOMIC_POSITIONS angstrom
Ni -0.073 -1.200 2.995
Ni 1.551 0.086 6.671
Ni 3.975 0.011 6.451
Ni 1.132 -3.338 3.210
Ni 2.201 1.743 4.983
Ni 2.756 -2.052 6.887
Ni 1.799 -1.713 1.523
Ni 0.119 0.543 4.722
Sm 2.887 -0.851 3.987
Ni 1.128 0.893 2.554
Sr 0.000 0.000 0.000
Ni -0.323 -2.944 1.173
```

Values from the calculation:
ΔE_f	-1.89	eV per formula unit
crystal system	orthorhombic
VASP energy	-5.508	eV per atom
symmetry	Pmmm, No. 47

Record 13
Density functional theory data (PBE) for a relaxed structure of Pa2MnP2N2. Values from VASP.

```
&SYSTEM
  ibrav = 0, nat = 7, ntyp = 4
/
ATOMIC_SPECIES
Pa 231.04 Pa.upf
N 14.01 N.upf
P 30.97 P.upf
Mn 54.94 Mn.upf
CELL_PARAMETERS angstrom
-2.040 -3.017 -1.043
2.341 -2.338 -4.698
3.438 -5.118 1.198
ATOMIC_POSITIONS angstrom
Pa 1.360 -2.767 -1.538
Pa 2.379 -7.706 -3.004
N 4.309 -6.866 -2.330
N -0.570 -3.607 -2.213
P 2.045 -4.829 -3.795
Mn 0.000 0.000 0.000
P 1.694 -5.644 -0.747
```

Values from the calculation:
crystal system	monoclinic
VASP energy	-9.112	eV per atom
symmetry	C2/m, No. 12
formation energy from raw total energies	-1.165	eV/atom

Record 14
Density functional theory data (PBE) for a relaxed structure of Sm6Dy2Tm3In. Values from VASP.

```
&SYSTEM
  ibrav = 0, nat = 12, ntyp = 4
/
ATOMIC_SPECIES
Tm 168.93 Tm.upf
In 114.82 In.upf
Sm 150.36 Sm.upf
Dy 162.50 Dy.upf
CELL_PARAMETERS angstrom
6.137 -0.005 0.006
-3.072 5.314 0.006
-1.039 -1.799 11.511
ATOMIC_POSITIONS angstrom
Tm 1.014 1.755 5.761
Tm 4.076 -0.014 5.761
In 0.000 0.000 0.000
Sm 2.008 -0.010 2.874
Dy 0.002 3.538 0.006
Sm 3.039 1.775 8.648
Tm -2.049 3.524 5.761
Dy 3.064 1.770 0.006
Sm -1.012 1.735 2.874
Sm 2.056 3.559 2.893
Sm 0.019 3.519 8.648
Sm -0.029 -0.050 8.629
```

Values from the calculation:
ΔE_f	-0.47	eV per formula unit
crystal system	monoclinic
VASP energy	-4.512	eV per atom
symmetry	C2/m, No. 12

Record 15
Density functional theory data (PBE) for a relaxed structure of Sm3Te2Pb. Values from VASP.

```
&SYSTEM
  ibrav = 0, nat = 12, ntyp = 3
/
ATOMIC_SPECIES
Te 127.60 Te.upf
Pb 207.20 Pb.upf
Sm 150.36 Sm.upf
CELL_PARAMETERS angstrom
-0.933 -4.079 -1.650
2.662 1.617 -5.505
11.850 -4.494 4.410
ATOMIC_POSITIONS angstrom
Te 8.574 -2.595 1.566
Te 3.513 -1.579 -4.215
Pb 7.454 -3.075 -2.747
Sm 6.123 -3.883 0.006
Sm 2.133 -2.369 -1.481
Te 11.396 -4.569 -1.282
Sm 1.997 1.213 -4.131
Te 4.607 -1.091 0.090
Sm 9.856 -1.768 -1.204
Sm 5.987 -0.301 -2.644
Pb 0.666 0.405 -1.378
Sm 10.114 -5.396 1.489
```

Values from the calculation:
crystal system	orthorhombic
VASP energy	-5.189	eV per atom
symmetry	Immm, No. 71
formation energy from raw total energies	-1.164	eV/atom
relative energy among the computed polymorphs	2	meV per atom

Record 16
Density functional theory data (PBE) for a relaxed structure of Ho8Ni2Pd. Values from VASP.

```
&SYSTEM
  ibrav = 0, nat = 11, ntyp = 3
/
ATOMIC_SPECIES
Ho 164.93 Ho.upf
Ni 58.69 Ni.upf
Pd 106.42 Pd.upf
CELL_PARAMETERS angstrom
5.679 0.110 -0.919
-1.838 6.699 -2.872
-0.024 -0.152 7.515
ATOMIC_POSITIONS angstrom
Ho 3.413 4.233 2.196
Ho 0.981 4.356 4.675
Ni 2.209 2.007 3.915
Pd 0.597 0.038 -0.079
Ho 4.186 5.299 -1.449
Ho 5.190 1.506 4.301
Ho 0.292 2.459 1.571
Ho 0.511 6.131 1.983
Ho 2.675 2.339 -0.902
Ni 1.499 4.686 -0.147
Ho 3.146 0.559 1.797
```

Values from the calculation:
ΔE_f	-2.46	eV per formula unit
crystal system	monoclinic
VASP energy	-5.076	eV per atom
symmetry	Cm, No. 8
relative energy among the computed polymorphs	87	meV per atom

Record 17
Density functional theory data (PBE) for a relaxed structure of YMgAl3. Values from VASP.

```
&SYSTEM
  ibrav = 0, nat = 5, ntyp = 3
/
ATOMIC_SPECIES
Al 26.98 Al.upf
Mg 24.30 Mg.upf
Y 88.91 Y.upf
CELL_PARAMETERS angstrom
-2.803 3.941 1.097
-2.226 -2.585 3.599
3.432 1.542 3.230
ATOMIC_POSITIONS angstrom
Al -1.401 1.970 0.548
Mg 0.000 0.000 0.000
Al 1.716 0.771 1.615
Al -1.113 -1.292 1.800
Y -0.798 1.449 3.963
```

Values from the calculation:
ΔE_f	2.46	eV per formula unit
crystal system	cubic
VASP energy	-3.364	eV per atom
symmetry	Pm-3m, No. 221

Record 18
Density functional theory data (PBE) for a relaxed structure of MnRh2W. Values from VASP.

```
&SYSTEM
  ibrav = 0, nat = 4, ntyp = 3
/
ATOMIC_SPECIES
Rh 102.91 Rh.upf
W 183.84 W.upf
Mn 54.94 Mn.upf
CELL_PARAMETERS angstrom
-0.003 1.184 -4.602
0.997 -3.766 -2.720
-3.122 0.703 3.512
ATOMIC_POSITIONS angstrom
Rh -1.315 0.298 -2.375
W 0.497 -1.291 -3.661
Rh 0.994 -2.582 -7.322
Mn -0.814 -2.177 -1.434
```

Values from the calculation:
ΔE_f	-0.39	eV per formula unit
crystal system	tetragonal
VASP energy	-9.303	eV per atom
symmetry	I-4m2, No. 119
relative energy among the computed polymorphs	72	meV per atom

Record 19
Density functional theory data (PBE) for a relaxed structure of Cs2LaThS4. Values from VASP.

```
&SYSTEM
  ibrav = 0, nat = 8, ntyp = 4
/
ATOMIC_SPECIES
Th 232.04 Th.upf
Cs 132.91 Cs.upf
S 32.06 S.upf
La 138.91 La.upf
CELL_PARAMETERS angstrom
-2.542 3.359 -0.618
-1.834 -2.614 -6.660
-5.574 -3.204 5.508
ATOMIC_POSITIONS angstrom
Th -2.188 0.373 -3.639
Cs -3.704 -2.909 -0.576
Cs -4.058 0.077 2.445
S -2.362 -2.480 -3.764
S -2.763 0.447 -0.871
La 0.000 0.000 0.000
S -7.187 -2.906 -0.899
S -5.046 -3.338 2.612
```

Values from the calculation:
crystal system	monoclinic
VASP energy	-5.585	eV per atom
symmetry	P2/m, No. 10
formation energy from raw total energies	-1.764	eV/atom

Record 20
Density functional theory data (PBE) for a relaxed structure of CrFeMo2H. Values from VASP.

```
&SYSTEM
  ibrav = 0, nat = 5, ntyp = 4
/
ATOMIC_SPECIES
H 1.01 H.upf
Mo 95.94 Mo.upf
Cr 52.00 Cr.upf
Fe 55.84 Fe.upf
CELL_PARAMETERS angstrom
4.145 0.000 0.000
0.000 4.145 0.000
0.000 0.000 3.315
ATOMIC_POSITIONS angstrom
H 0.000 0.000 0.000
Mo 0.000 2.073 0.000
Cr 2.073 2.073 1.658
Mo 2.073 0.000 0.000
Fe 0.000 0.000 1.658
```

Values from the calculation:
crystal system	tetragonal
VASP energy	-8.462	eV per atom
symmetry	P4/mmm, No. 123